SbW3O: optimized geometry, GGA+U.

Properties
total moment	2.885	Bohr magnetons per cell
symmetry	Pm-3m
energy above the lowest structure with this stoichiometry	0	meV per atom

Cell: 4.323 4.323 4.323 Å, 90.00 90.00 90.00°
Sites, in units of the cell vectors:
Sb (0.000, 0.000, 0.000)
W (0.000, 0.500, 0.500)
W (0.500, 0.000, 0.500)
W (0.500, 0.500, 0.000)
O (0.500, 0.500, 0.500)